The following is a DFT calculation (PBE) of a relaxed Cd12Hg6Au crystal.

CIF file:
```
data_Cd12Hg6Au
_cell_length_a 7.859
_cell_length_b 7.859
_cell_length_c 7.859
_cell_angle_alpha 86.95
_cell_angle_beta 86.95
_cell_angle_gamma 86.95
_symmetry_space_group_name_H-M 'P 1'
_symmetry_Int_Tables_number 1
_symmetry_space_group_name_Hall 'P 1'
loop_
_atom_site_label
_atom_site_type_symbol
_atom_site_fract_x
_atom_site_fract_y
_atom_site_fract_z
_atom_site_occupancy
Hg1 Hg 0.760 0.807 0.389 1
Hg2 Hg 0.193 0.611 0.240 1
Hg3 Hg 0.389 0.760 0.807 1
Hg4 Hg 0.807 0.389 0.760 1
Hg5 Hg 0.611 0.240 0.193 1
Hg6 Hg 0.240 0.193 0.611 1
Cd1 Cd 0.624 0.140 0.561 1
Cd2 Cd 0.439 0.376 0.860 1
Cd3 Cd 0.376 0.860 0.439 1
Cd4 Cd 0.860 0.439 0.376 1
Cd5 Cd 0.664 0.979 0.912 1
Cd6 Cd 0.088 0.336 0.021 1
Cd7 Cd 0.979 0.912 0.664 1
Cd8 Cd 0.140 0.561 0.624 1
Cd9 Cd 0.336 0.021 0.088 1
Cd10 Cd 0.561 0.624 0.140 1
Cd11 Cd 0.021 0.088 0.336 1
Cd12 Cd 0.912 0.664 0.979 1
Au1 Au 0.000 0.000 0.000 1
```

Results
Relative energy among the computed polymorphs = 0.000 eV per atom
V = 483 Å³ per cell
Total magnetization = 0.00 Bohr magnetons per cell
Space group = R-3, No. 148

---

The following is a DFT calculation (PBE) of a relaxed Cd4HgAu7 crystal.

CIF file:
```
data_Cd4HgAu7
_cell_length_a 5.242
_cell_length_b 9.431
_cell_length_c 5.973
_cell_angle_alpha 82.77
_cell_angle_beta 63.97
_cell_angle_gamma 73.86
_symmetry_space_group_name_H-M 'P 1'
_symmetry_Int_Tables_number 1
_symmetry_space_group_name_Hall 'P 1'
loop_
_atom_site_label
_atom_site_type_symbol
_atom_site_fract_x
_atom_site_fract_y
_atom_site_fract_z
_atom_site_occupancy
Au1 Au 0.211 0.086 0.493 1
Au2 Au 0.789 0.914 0.507 1
Au3 Au 0.500 0.000 0.000 1
Au4 Au 0.362 0.521 0.755 1
Au5 Au 0.937 0.341 0.785 1
Au6 Au 0.063 0.659 0.215 1
Au7 Au 0.638 0.479 0.245 1
Cd1 Cd 0.403 0.775 0.420 1
Cd2 Cd 0.238 0.335 0.189 1
Cd3 Cd 0.762 0.665 0.811 1
Cd4 Cd 0.597 0.225 0.580 1
Hg1 Hg 0.000 0.000 0.000 1
```

Results
V = 255 Å³ per cell
Total magnetization = 0.00 Bohr magnetons per cell
Space group = C2/m, No. 12

---

The following is a DFT calculation (PBE) of a relaxed Cd6HgAu5 crystal.

CIF file:
```
data_Cd6HgAu5
_cell_length_a 4.593
_cell_length_b 8.156
_cell_length_c 8.156
_cell_angle_alpha 113.84
_cell_angle_beta 106.35
_cell_angle_gamma 106.35
_symmetry_space_group_name_H-M 'P 1'
_symmetry_Int_Tables_number 1
_symmetry_space_group_name_Hall 'P 1'
loop_
_atom_site_label
_atom_site_type_symbol
_atom_site_fract_x
_atom_site_fract_y
_atom_site_fract_z
_atom_site_occupancy
Cd1 Cd 0.742 0.572 0.912 1
Cd2 Cd 0.765 0.265 0.265 1
Cd3 Cd 0.742 0.912 0.572 1
Cd4 Cd 0.258 0.428 0.088 1
Cd5 Cd 0.258 0.088 0.428 1
Cd6 Cd 0.235 0.735 0.735 1
Hg1 Hg 0.000 0.000 0.000 1
Au1 Au 0.500 0.840 0.160 1
Au2 Au 0.000 0.329 0.671 1
Au3 Au 0.500 0.500 0.500 1
Au4 Au 0.500 0.160 0.840 1
Au5 Au 0.000 0.671 0.329 1
```

Results
V = 239 Å³ per cell
Total magnetization = 0.00 Bohr magnetons per cell
Space group = Immm, No. 71

---

The following is a DFT calculation (PBE) of a relaxed Cd2HgAu2 crystal.

CIF file:
```
data_Cd2HgAu2
_cell_length_a 3.923
_cell_length_b 3.923
_cell_length_c 7.863
_cell_angle_alpha 75.55
_cell_angle_beta 75.55
_cell_angle_gamma 90.00
_symmetry_space_group_name_H-M 'P 1'
_symmetry_Int_Tables_number 1
_symmetry_space_group_name_Hall 'P 1'
loop_
_atom_site_label
_atom_site_type_symbol
_atom_site_fract_x
_atom_site_fract_y
_atom_site_fract_z
_atom_site_occupancy
Au1 Au 0.750 0.250 0.500 1
Au2 Au 0.250 0.750 0.500 1
Cd1 Cd 0.398 0.398 0.205 1
Cd2 Cd 0.602 0.602 0.795 1
Hg1 Hg 0.000 0.000 0.000 1
```

Results
Relative energy among the computed polymorphs = 0.060 eV per atom
V = 113 Å³ per cell
Total magnetization = 0.00 Bohr magnetons per cell
Space group = I4/mmm, No. 139

---

The following is a DFT calculation (PBE) of a relaxed Cd3HgAu6 crystal.

CIF file:
```
data_Cd3HgAu6
_cell_length_a 4.859
_cell_length_b 8.075
_cell_length_c 10.891
_cell_angle_alpha 115.73
_cell_angle_beta 90.00
_cell_angle_gamma 90.00
_symmetry_space_group_name_H-M 'P 1'
_symmetry_Int_Tables_number 1
_symmetry_space_group_name_Hall 'P 1'
loop_
_atom_site_label
_atom_site_type_symbol
_atom_site_fract_x
_atom_site_fract_y
_atom_site_fract_z
_atom_site_occupancy
Au1 Au 0.250 0.036 0.933 1
Au2 Au 0.750 0.572 0.879 1
Au3 Au 0.750 0.358 0.262 1
Au4 Au 0.250 0.136 0.232 1
Au5 Au 0.750 0.751 0.468 1
Au6 Au 0.250 0.249 0.532 1
Au7 Au 0.250 0.428 0.121 1
Au8 Au 0.750 0.864 0.768 1
Au9 Au 0.750 0.964 0.067 1
Au10 Au 0.250 0.642 0.738 1
Au11 Au 0.250 0.828 0.330 1
Au12 Au 0.750 0.172 0.670 1
Cd1 Cd 0.750 0.473 0.579 1
Cd2 Cd 0.250 0.527 0.421 1
Cd3 Cd 0.250 0.748 0.037 1
Cd4 Cd 0.250 0.343 0.827 1
Cd5 Cd 0.750 0.657 0.173 1
Cd6 Cd 0.750 0.252 0.963 1
Hg1 Hg 0.250 0.937 0.631 1
Hg2 Hg 0.750 0.063 0.369 1
```

Results
V = 385 Å³ per cell
Total magnetization = 0.00 Bohr magnetons per cell
Space group = P2_1/m, No. 11

---

The following is a DFT calculation (PBE) of a relaxed Cd3HgAu2 crystal.

CIF file:
```
data_Cd3HgAu2
_cell_length_a 7.903
_cell_length_b 7.903
_cell_length_c 7.903
_cell_angle_alpha 51.72
_cell_angle_beta 51.72
_cell_angle_gamma 51.72
_symmetry_space_group_name_H-M 'P 1'
_symmetry_Int_Tables_number 1
_symmetry_space_group_name_Hall 'P 1'
loop_
_atom_site_label
_atom_site_type_symbol
_atom_site_fract_x
_atom_site_fract_y
_atom_site_fract_z
_atom_site_occupancy
Au1 Au 0.642 0.642 0.642 1
Au2 Au 0.142 0.142 0.142 1
Au3 Au 0.358 0.358 0.358 1
Au4 Au 0.858 0.858 0.858 1
Cd1 Cd 0.250 0.515 0.985 1
Cd2 Cd 0.750 0.485 0.015 1
Cd3 Cd 0.515 0.985 0.250 1
Cd4 Cd 0.015 0.750 0.485 1
Cd5 Cd 0.985 0.250 0.515 1
Cd6 Cd 0.485 0.015 0.750 1
Hg1 Hg 0.000 0.000 0.000 1
Hg2 Hg 0.500 0.500 0.500 1
```

Results
Relative energy among the computed polymorphs = 0.009 eV per atom
V = 281 Å³ per cell
Total magnetization = 0.00 Bohr magnetons per cell
Space group = R-3c, No. 167

---

The following is a DFT calculation (PBE) of a relaxed Cd10Hg3Au3 crystal.

CIF file:
```
data_Cd10Hg3Au3
_cell_length_a 6.496
_cell_length_b 8.066
_cell_length_c 8.066
_cell_angle_alpha 120.00
_cell_angle_beta 90.00
_cell_angle_gamma 90.00
_symmetry_space_group_name_H-M 'P 1'
_symmetry_Int_Tables_number 1
_symmetry_space_group_name_Hall 'P 1'
loop_
_atom_site_label
_atom_site_type_symbol
_atom_site_fract_x
_atom_site_fract_y
_atom_site_fract_z
_atom_site_occupancy
Hg1 Hg 0.000 0.000 0.582 1
Hg2 Hg 0.000 0.418 0.418 1
Hg3 Hg 0.000 0.582 0.000 1
Cd1 Cd 0.500 0.232 0.232 1
Cd2 Cd 0.266 0.333 0.667 1
Cd3 Cd 0.734 0.667 0.333 1
Cd4 Cd 0.000 0.220 0.000 1
Cd5 Cd 0.500 0.768 0.000 1
Cd6 Cd 0.000 0.780 0.780 1
Cd7 Cd 0.500 0.000 0.768 1
Cd8 Cd 0.266 0.667 0.333 1
Cd9 Cd 0.734 0.333 0.667 1
Cd10 Cd 0.000 0.000 0.220 1
Au1 Au 0.500 0.601 0.601 1
Au2 Au 0.500 0.399 0.000 1
Au3 Au 0.500 0.000 0.399 1
```

Results
V = 366 Å³ per cell
Total magnetization = 0.00 Bohr magnetons per cell
Space group = P-62m, No. 189

---

The following is a DFT calculation (PBE) of a relaxed Cd12Hg2Au5 crystal.

CIF file:
```
data_Cd12Hg2Au5
_cell_length_a 6.080
_cell_length_b 8.281
_cell_length_c 9.693
_cell_angle_alpha 98.64
_cell_angle_beta 90.00
_cell_angle_gamma 111.54
_symmetry_space_group_name_H-M 'P 1'
_symmetry_Int_Tables_number 1
_symmetry_space_group_name_Hall 'P 1'
loop_
_atom_site_label
_atom_site_type_symbol
_atom_site_fract_x
_atom_site_fract_y
_atom_site_fract_z
_atom_site_occupancy
Cd1 Cd 0.948 0.395 0.121 1
Cd2 Cd 0.599 0.708 0.374 1
Cd3 Cd 0.853 0.705 0.645 1
Cd4 Cd 0.052 0.605 0.879 1
Cd5 Cd 0.519 0.038 0.325 1
Cd6 Cd 0.891 0.292 0.626 1
Cd7 Cd 0.109 0.708 0.374 1
Cd8 Cd 0.401 0.292 0.626 1
Cd9 Cd 0.553 0.605 0.879 1
Cd10 Cd 0.147 0.295 0.355 1
Cd11 Cd 0.481 0.962 0.675 1
Cd12 Cd 0.447 0.395 0.121 1
Hg1 Hg 0.760 0.000 0.000 1
Hg2 Hg 0.240 0.000 0.000 1
Au1 Au 0.363 0.727 0.123 1
Au2 Au 0.301 0.603 0.618 1
Au3 Au 0.637 0.273 0.877 1
Au4 Au 0.000 0.000 0.500 1
Au5 Au 0.699 0.397 0.382 1
```

Results
V = 448 Å³ per cell
Total magnetization = 0.00 Bohr magnetons per cell
Space group = C2/m, No. 12

---

One value per record, in order, for energy of formation: 0.03, -0.06, -0.13, -0.05, -0.09, -0.07, -0.04, -0.07 eV per atom.